(1)
Computed, not measured: crystalline PuGeN at its relaxed geometry at the PBE level of DFT.

Geometry as extended XYZ:
```
12
Lattice="-1.425 1.992 2.380 -2.735 -5.489 2.958 6.444 -0.780 4.511" Properties=species:S:1:pos:R:3 pbc="T T T"
Pu -1.026 -1.719 2.050
Pu 2.276 0.478 4.638
Pu 3.311 -2.557 7.799
Pu 0.008 -4.755 5.211
Ge -0.243 -1.750 4.995
Ge -0.260 1.162 2.547
Ge 2.545 -5.439 7.302
Ge 2.527 -2.526 4.853
N -0.555 -3.353 3.700
N 0.790 -0.606 2.205
N 2.839 -0.923 6.148
N 1.495 -3.671 7.643
```

The value obtained for the total energy is -9.079 eV/atom. The value obtained for the uncorrected formation energy is 13 meV/atom. Its distance to the lowest polymorph of the same formula is 829 meV per atom. As for the magnetization: 4.380 μB/cell. Its space-group type is Pnma (62).

(2)
Computed, not measured: crystalline NaPa3Zn4O12 at its relaxed geometry at the PBE level of DFT.

Geometry as extended XYZ:
```
20
Lattice="-2.993 -1.927 6.364 7.114 -1.503 0.546 -0.533 7.261 -0.396" Properties=species:S:1:pos:R:3 pbc="T T T"
Na 0.000 0.000 0.000
Pa 1.548 -1.737 3.750
Pa -1.638 3.133 2.641
Pa 3.678 2.435 0.123
Zn -2.715 1.726 5.852
Zn 2.892 6.015 0.241
Zn 5.206 -1.995 3.677
Zn 1.794 1.916 3.257
O 0.556 3.335 3.104
O 0.837 -1.660 5.887
O 5.727 2.080 0.993
O -1.181 5.326 2.890
O 5.683 -0.405 2.762
O 1.360 6.033 1.357
O -1.378 0.421 6.166
O 3.477 -2.150 4.438
O 4.021 4.493 0.231
O -2.399 3.101 4.587
O 1.396 0.428 4.351
O 3.431 1.984 2.315
```

The value obtained for the total energy is -7.206 eV/atom. The value obtained for the uncorrected formation energy is -2486 meV/atom. As for the magnetization: 0.000 μB/cell. Its space-group type is R32 (155).

(3)
Computed, not measured: crystalline VHIrOs2 at its relaxed geometry at the PBE level of DFT.

Geometry as extended XYZ:
```
5
Lattice="3.862 0.000 0.000 0.000 3.862 0.000 0.000 0.000 3.881" Properties=species:S:1:pos:R:3 pbc="T T T"
H 0.000 0.000 0.000
Ir 1.931 1.931 1.941
Os 0.000 1.931 0.000
Os 1.931 0.000 0.000
V 0.000 0.000 1.941
```

The value obtained for the total energy is -8.861 eV/atom. As for the magnetization: 0.000 μB/cell. Its space-group type is P4/mmm (123).

(4)
Computed, not measured: crystalline KTl2Sb at its relaxed geometry at the PBE level of DFT.

Geometry as extended XYZ:
```
4
Lattice="10.979 0.008 0.004 10.324 3.736 0.004 10.324 1.814 3.266" Properties=species:S:1:pos:R:3 pbc="T T T"
K 15.715 2.762 1.627
Sb 23.499 4.130 2.433
Tl 0.098 0.017 0.010
Tl 8.130 1.429 0.842
```

The value obtained for the total energy is -2.474 eV/atom. The value obtained for the uncorrected formation energy is 14 meV/atom. As for the magnetization: 0.000 μB/cell. Its space-group type is R3m (160).

(5)
Computed, not measured: crystalline Cu3NiCl8 at its relaxed geometry at the PBE level of DFT.

Geometry as extended XYZ:
```
12
Lattice="-4.513 2.603 -4.226 -2.394 -5.667 4.391 0.779 6.393 3.106" Properties=species:S:1:pos:R:3 pbc="T T T"
Cu -2.257 1.301 -2.113
Cu -3.454 -1.532 0.083
Cu -1.197 -2.833 2.196
Ni 0.000 0.000 0.000
Cl -1.669 2.852 3.539
Cl -4.460 0.477 -0.267
Cl -2.915 -0.022 5.699
Cl -5.118 1.249 3.635
Cl -4.285 3.969 1.696
Cl -1.843 -0.639 1.575
Cl -1.011 2.080 -0.364
Cl -3.214 3.351 -2.427
```

The value obtained for the total energy is -3.237 eV/atom. The value obtained for the uncorrected formation energy is -500 meV/atom. As for the magnetization: 4.653 μB/cell. Its space-group type is C2/m (12).

(6)
Computed, not measured: crystalline ErLuPuSc at its relaxed geometry at the PBE level of DFT.

Geometry as extended XYZ:
```
4
Lattice="5.401 0.000 0.000 2.700 4.677 0.000 2.700 1.559 4.410" Properties=species:S:1:pos:R:3 pbc="T T T"
Er 8.101 4.677 3.307
Sc 0.000 0.000 0.000
Lu 5.401 3.118 2.205
Pu 2.700 1.559 1.102
```

The value obtained for the total energy is -7.282 eV/atom. As for the magnetization: 5.955 μB/cell. As for the formation enthalpy at 0 K: 0.155 eV per atom. Its space-group type is F-43m (216).

(7)
Computed, not measured: crystalline TlFeSb2I at its relaxed geometry at the PBE level of DFT.

Geometry as extended XYZ:
```
5
Lattice="4.898 0.000 0.000 0.000 4.898 0.000 0.000 0.000 6.116" Properties=species:S:1:pos:R:3 pbc="T T T"
I 0.000 0.000 3.058
Sb 0.000 2.449 0.000
Sb 2.449 0.000 0.000
Tl 2.449 2.449 3.058
Fe 0.000 0.000 0.000
```

The value obtained for the total energy is -3.876 eV/atom. The value obtained for the uncorrected formation energy is 249 meV/atom. Its distance to the lowest polymorph of the same formula is 0 meV per atom. As for the magnetization: 0.004 μB/cell. Its space-group type is P4/mmm (123).

(8)
Computed, not measured: crystalline La2Sn3Pd4Pb at its relaxed geometry at the PBE level of DFT.

Geometry as extended XYZ:
```
10
Lattice="-3.909 1.497 2.011 -2.506 -2.342 -3.130 0.012 -8.763 6.547" Properties=species:S:1:pos:R:3 pbc="T T T"
La -1.952 -1.338 2.564
La -1.244 -7.848 3.424
Sn 0.006 -4.382 3.273
Sn -1.944 -6.934 6.745
Sn -1.252 -2.252 -0.757
Pd -3.208 -0.423 -0.560
Pd 0.000 0.000 0.000
Pd -1.947 -4.851 5.188
Pd -1.249 -4.335 0.799
Pb -3.202 -4.804 2.714
```

The value obtained for the total energy is -5.388 eV/atom. As for the magnetization: 0.000 μB/cell. As for the formation enthalpy at 0 K: -0.754 eV per atom. Its space-group type is P-4m2 (115).